Entry 1:
The following is a PBE calculation of an optimized crystal structure of YBe2Ag, from Alexandria.

Structure (CIF):
```
data_YBe2Ag
_chemical_formula_sum 'Y1 Be2 Ag1'
_cell_length_a 4.462
_cell_length_b 4.462
_cell_length_c 4.462
_cell_angle_alpha 60.00
_cell_angle_beta 60.00
_cell_angle_gamma 60.00
_symmetry_space_group_name_H-M 'P 1'
_symmetry_Int_Tables_number 1
loop_
_symmetry_equiv_pos_as_xyz
'x,y,z'
loop_
_atom_site_label
_atom_site_fract_x
_atom_site_fract_y
_atom_site_fract_z
_atom_site_occupancy
Y1 0.000 0.000 0.000 1
Be1 0.250 0.250 0.250 1
Be2 0.750 0.750 0.750 1
Ag1 0.500 0.500 0.500 1
```

Output
For the formation enthalpy at 0 K, the calculation gives 86 meV per atom. Its total moment is 0.00 μB/f.u. The symmetry is Fm-3m (225). The value obtained for the total energy is -16.4 eV/cell. The calculation puts the density of states at the Fermi level at 1.49 states/eV/cell.

Entry 2:
The following is a PBE calculation of an optimized crystal structure of Dy2PaHg, from Alexandria.

Structure (CIF):
```
data_Dy2PaHg
_chemical_formula_sum 'Dy2 Pa1 Hg1'
_cell_length_a 3.304
_cell_length_b 3.304
_cell_length_c 11.761
_cell_angle_alpha 81.93
_cell_angle_beta 81.93
_cell_angle_gamma 60.00
_symmetry_space_group_name_H-M 'P 1'
_symmetry_Int_Tables_number 1
loop_
_symmetry_equiv_pos_as_xyz
'x,y,z'
loop_
_atom_site_label
_atom_site_fract_x
_atom_site_fract_y
_atom_site_fract_z
_atom_site_occupancy
Pa1 0.000 0.000 0.000 1
Hg1 0.500 0.500 0.500 1
Dy1 0.093 0.093 0.722 1
Dy2 0.907 0.907 0.278 1
```

Output
For the formation enthalpy at 0 K, the calculation gives 179 meV per atom. Its total moment is 0.00 μB/f.u. The symmetry is R-3m (166). The value obtained for the total energy is -18.3 eV/cell. The calculation puts the density of states at the Fermi level at 6.15 states/eV/cell.

Entry 3:
The following is a PBE calculation of an optimized crystal structure of ZnCoTeC2, from Alexandria.

Structure (CIF):
```
data_ZnCoTeC2
_chemical_formula_sum 'Zn1 Co1 Te1 C2'
_cell_length_a 3.823
_cell_length_b 6.046
_cell_length_c 3.823
_cell_angle_alpha 90.00
_cell_angle_beta 90.00
_cell_angle_gamma 90.00
_symmetry_space_group_name_H-M 'P 1'
_symmetry_Int_Tables_number 1
loop_
_symmetry_equiv_pos_as_xyz
'x,y,z'
loop_
_atom_site_label
_atom_site_fract_x
_atom_site_fract_y
_atom_site_fract_z
_atom_site_occupancy
Zn1 0.000 0.000 0.000 1
Te1 0.000 0.500 0.000 1
Co1 0.500 0.500 0.500 1
C1 0.000 0.000 0.500 1
C2 0.500 0.000 0.000 1
```

Output
Its total moment is 0.86 μB/f.u. The symmetry is P4/mmm (123). The value obtained for the total energy is -18.7 eV/cell. For the formation energy from raw total energies, the calculation gives 52.0 kcal/mol of atoms. The calculation puts the density of states at the Fermi level at 4.87 states/eV/cell.

Entry 4:
The following is a PBE calculation of an optimized crystal structure of Ta2TcOs, from Alexandria.

Structure (CIF):
```
data_Ta2TcOs
_chemical_formula_sum 'Ta2 Tc1 Os1'
_cell_length_a 4.504
_cell_length_b 4.504
_cell_length_c 4.504
_cell_angle_alpha 60.00
_cell_angle_beta 60.00
_cell_angle_gamma 60.00
_symmetry_space_group_name_H-M 'P 1'
_symmetry_Int_Tables_number 1
loop_
_symmetry_equiv_pos_as_xyz
'x,y,z'
loop_
_atom_site_label
_atom_site_fract_x
_atom_site_fract_y
_atom_site_fract_z
_atom_site_occupancy
Os1 0.500 0.500 0.500 1
Ta1 0.000 0.000 0.000 1
Ta2 0.250 0.250 0.250 1
Tc1 0.750 0.750 0.750 1
```

Output
For the formation enthalpy at 0 K, the calculation gives -60 meV per atom. Its total moment is 0.00 μB/f.u. The symmetry is F-43m (216). The value obtained for the total energy is -45.5 eV/cell. The calculation puts the density of states at the Fermi level at 4.51 states/eV/cell.

Entry 5:
The following is a PBE calculation of an optimized crystal structure of LiTmCdPt, from Alexandria.

Structure (CIF):
```
data_LiTmCdPt
_chemical_formula_sum 'Li1 Tm1 Cd1 Pt1'
_cell_length_a 4.764
_cell_length_b 4.764
_cell_length_c 4.764
_cell_angle_alpha 60.00
_cell_angle_beta 60.00
_cell_angle_gamma 60.00
_symmetry_space_group_name_H-M 'P 1'
_symmetry_Int_Tables_number 1
loop_
_symmetry_equiv_pos_as_xyz
'x,y,z'
loop_
_atom_site_label
_atom_site_fract_x
_atom_site_fract_y
_atom_site_fract_z
_atom_site_occupancy
Tm1 0.250 0.250 0.250 1
Li1 0.000 0.000 0.000 1
Pt1 0.500 0.500 0.500 1
Cd1 0.750 0.750 0.750 1
```

Output
For the formation enthalpy at 0 K, the calculation gives -650 meV per atom. Its total moment is 0.00 μB/f.u. The symmetry is F-43m (216). The value obtained for the total energy is -15.9 eV/cell. The calculation puts the density of states at the Fermi level at 3.88 states/eV/cell.

Entry 6:
The following is a PBE calculation of an optimized crystal structure of PaBePd, from Alexandria.

Structure (CIF):
```
data_PaBePd
_chemical_formula_sum 'Pa1 Be1 Pd1'
_cell_length_a 3.028
_cell_length_b 3.028
_cell_length_c 5.789
_cell_angle_alpha 105.16
_cell_angle_beta 105.16
_cell_angle_gamma 90.00
_symmetry_space_group_name_H-M 'P 1'
_symmetry_Int_Tables_number 1
loop_
_symmetry_equiv_pos_as_xyz
'x,y,z'
loop_
_atom_site_label
_atom_site_fract_x
_atom_site_fract_y
_atom_site_fract_z
_atom_site_occupancy
Be1 0.697 0.697 0.394 1
Pa1 0.005 0.005 0.009 1
Pd1 0.298 0.298 0.596 1
```

Output
For the formation enthalpy at 0 K, the calculation gives -265 meV per atom. Its total moment is 0.00 μB/f.u. The symmetry is I4mm (107). The value obtained for the total energy is -19.2 eV/cell. The calculation puts the density of states at the Fermi level at 3.64 states/eV/cell.

Entry 7:
The following is a PBE calculation of an optimized crystal structure of HoZrScTi, from Alexandria.

Structure (CIF):
```
data_HoZrScTi
_chemical_formula_sum 'Ho1 Zr1 Sc1 Ti1'
_cell_length_a 5.113
_cell_length_b 5.113
_cell_length_c 5.113
_cell_angle_alpha 60.00
_cell_angle_beta 60.00
_cell_angle_gamma 60.00
_symmetry_space_group_name_H-M 'P 1'
_symmetry_Int_Tables_number 1
loop_
_symmetry_equiv_pos_as_xyz
'x,y,z'
loop_
_atom_site_label
_atom_site_fract_x
_atom_site_fract_y
_atom_site_fract_z
_atom_site_occupancy
Sc1 0.750 0.750 0.750 1
Ho1 0.000 0.000 0.000 1
Zr1 0.500 0.500 0.500 1
Ti1 0.250 0.250 0.250 1
```

Output
For the formation enthalpy at 0 K, the calculation gives 188 meV per atom. Its total moment is 2.31 μB/f.u. The symmetry is F-43m (216). The value obtained for the total energy is -26.6 eV/cell. The calculation puts the density of states at the Fermi level at 6.54 states/eV/cell.

Entry 8:
The following is a PBE calculation of an optimized crystal structure of LiCdPt2, from Alexandria.

Structure (CIF):
```
data_LiCdPt2
_chemical_formula_sum 'Li1 Cd1 Pt2'
_cell_length_a 4.818
_cell_length_b 4.818
_cell_length_c 4.818
_cell_angle_alpha 129.84
_cell_angle_beta 129.84
_cell_angle_gamma 73.66
_symmetry_space_group_name_H-M 'P 1'
_symmetry_Int_Tables_number 1
loop_
_symmetry_equiv_pos_as_xyz
'x,y,z'
loop_
_atom_site_label
_atom_site_fract_x
_atom_site_fract_y
_atom_site_fract_z
_atom_site_occupancy
Li1 0.750 0.250 0.500 1
Pt1 0.000 0.000 0.000 1
Pt2 0.250 0.750 0.500 1
Cd1 0.500 0.500 0.000 1
```

Output
For the formation enthalpy at 0 K, the calculation gives -379 meV per atom. Its total moment is 0.00 μB/f.u. The symmetry is I-4m2 (119). The value obtained for the total energy is -16.4 eV/cell. The calculation puts the density of states at the Fermi level at 2.77 states/eV/cell.

Entry 9:
The following is a PBE calculation of an optimized crystal structure of Ce2Ge3Pt, from Alexandria.

Structure (CIF):
```
data_Ce2Ge3Pt
_chemical_formula_sum 'Ce4 Ge6 Pt2'
_cell_length_a 5.964
_cell_length_b 5.964
_cell_length_c 8.539
_cell_angle_alpha 111.04
_cell_angle_beta 111.04
_cell_angle_gamma 88.40
_symmetry_space_group_name_H-M 'P 1'
_symmetry_Int_Tables_number 1
loop_
_symmetry_equiv_pos_as_xyz
'x,y,z'
loop_
_atom_site_label
_atom_site_fract_x
_atom_site_fract_y
_atom_site_fract_z
_atom_site_occupancy
Ce1 0.750 0.250 0.500 1
Ce2 0.750 0.250 0.000 1
Ce3 0.250 0.750 0.500 1
Ce4 0.250 0.750 0.000 1
Ge1 0.832 0.832 0.167 1
Ge2 0.665 0.665 0.833 1
Ge3 0.168 0.168 0.833 1
Ge4 0.335 0.335 0.167 1
Ge5 0.166 0.166 0.332 1
Ge6 0.834 0.834 0.668 1
Pt1 0.668 0.668 0.335 1
Pt2 0.332 0.332 0.665 1
```

Output
For the formation enthalpy at 0 K, the calculation gives -839 meV per atom. Its total moment is 1.43 μB/f.u. The symmetry is Fmmm (69). The value obtained for the total energy is -73.6 eV/cell. The calculation puts the density of states at the Fermi level at 22.91 states/eV/cell.

Entry 10:
The following is a PBE calculation of an optimized crystal structure of CsNaAu2, from Alexandria.

Structure (CIF):
```
data_CsNaAu2
_chemical_formula_sum 'Cs1 Na1 Au2'
_cell_length_a 3.901
_cell_length_b 3.901
_cell_length_c 8.011
_cell_angle_alpha 90.00
_cell_angle_beta 90.00
_cell_angle_gamma 90.00
_symmetry_space_group_name_H-M 'P 1'
_symmetry_Int_Tables_number 1
loop_
_symmetry_equiv_pos_as_xyz
'x,y,z'
loop_
_atom_site_label
_atom_site_fract_x
_atom_site_fract_y
_atom_site_fract_z
_atom_site_occupancy
Cs1 0.500 0.500 0.500 1
Na1 0.500 0.500 0.000 1
Au1 0.000 0.000 0.814 1
Au2 0.000 0.000 0.186 1
```

Output
For the formation enthalpy at 0 K, the calculation gives -248 meV per atom. Its total moment is 0.00 μB/f.u. The symmetry is P4/mmm (123). The value obtained for the total energy is -9.7 eV/cell. The calculation puts the density of states at the Fermi level at 0.31 states/eV/cell.